## K2SrSi (PBE-GGA)

Data for crystalline K2SrSi at its relaxed geometry. Values from VASP.

Raw total energy in eV per atom: -2.046
Crystal system: monoclinic
Magnetization in μB/cell: 0.453
Energy relative to the elements, uncorrected in eV per formula unit: 1.1
Calculated volume in A^3/atom: 39.1
Symmetry: P2/m, No. 10

```
&SYSTEM
  ibrav = 0, nat = 4, ntyp = 3
/
ATOMIC_SPECIES
K 39.10 K.upf
Si 28.09 Si.upf
Sr 87.62 Sr.upf
CELL_PARAMETERS angstrom
6.459 0.000 0.000
0.000 4.349 0.022
0.000 0.588 5.564
ATOMIC_POSITIONS angstrom
K 0.000 0.196 0.188
K 0.000 2.272 2.605
Si 3.229 1.234 1.397
Sr 3.229 3.703 4.190
```

=====

## K2SrSi (PBE-GGA)

Data for crystalline K2SrSi at its relaxed geometry. Values from VASP.

Raw total energy in eV per atom: -2.207
Crystal system: tetragonal
Magnetization in μB/cell: 0.000
Energy relative to the elements, uncorrected in eV per formula unit: 0.5
Calculated volume in A^3/atom: 34.3
Symmetry: I-4m2, No. 119

```
&SYSTEM
  ibrav = 0, nat = 4, ntyp = 3
/
ATOMIC_SPECIES
K 39.10 K.upf
Si 28.09 Si.upf
Sr 87.62 Sr.upf
CELL_PARAMETERS angstrom
5.788 -0.007 -0.028
-0.007 5.788 0.028
-2.871 -2.910 4.097
ATOMIC_POSITIONS angstrom
K 2.904 -0.013 2.035
K 0.001 0.001 0.000
Si 2.889 2.889 0.000
Sr 0.007 2.884 2.062
```

=====

## K2SrSi (PBE-GGA)

Data for crystalline K2SrSi at its relaxed geometry. Values from VASP.

Raw total energy in eV per atom: -2.251
Crystal system: monoclinic
Magnetization in μB/cell: 0.000
Energy relative to the elements, uncorrected in eV per formula unit: 0.3
Calculated volume in A^3/atom: 46.1
Symmetry: Pm, No. 6

```
&SYSTEM
  ibrav = 0, nat = 4, ntyp = 3
/
ATOMIC_SPECIES
Sr 87.62 Sr.upf
Si 28.09 Si.upf
K 39.10 K.upf
CELL_PARAMETERS angstrom
4.032 0.000 0.000
0.000 4.034 -0.006
0.000 3.977 11.327
ATOMIC_POSITIONS angstrom
Sr 2.016 6.016 7.437
Si 0.000 3.998 5.945
K 2.016 1.982 3.812
K 0.000 3.996 11.116
```

=====

## K2SrSi (PBE-GGA)

Data for crystalline K2SrSi at its relaxed geometry. Values from VASP.

Raw total energy in eV per atom: -2.015
Crystal system: tetragonal
Magnetization in μB/cell: 0.000
Energy relative to the elements, uncorrected in eV per formula unit: 1.2
Calculated volume in A^3/atom: 38.8
Symmetry: I-42d, No. 122

```
&SYSTEM
  ibrav = 0, nat = 8, ntyp = 3
/
ATOMIC_SPECIES
K 39.10 K.upf
Sr 87.62 Sr.upf
Si 28.09 Si.upf
CELL_PARAMETERS angstrom
4.876 0.000 0.000
0.000 4.876 0.000
2.438 2.438 13.039
ATOMIC_POSITIONS angstrom
K 1.368 3.657 3.260
K 3.657 3.806 9.779
K 6.095 5.946 9.779
K 3.508 1.219 3.260
Sr 4.876 2.438 6.520
Sr 0.000 0.000 0.000
Si 2.438 2.438 0.000
Si 2.438 4.876 6.520
```

=====

## K2SrSi (PBE-GGA)

Data for crystalline K2SrSi at its relaxed geometry. Values from VASP.

Raw total energy in eV per atom: -1.905
Crystal system: tetragonal
Magnetization in μB/cell: 0.308
Energy relative to the elements, uncorrected in eV per formula unit: 1.7
Calculated volume in A^3/atom: 45.0
Symmetry: P4/mmm, No. 123

```
&SYSTEM
  ibrav = 0, nat = 4, ntyp = 3
/
ATOMIC_SPECIES
Si 28.09 Si.upf
K 39.10 K.upf
Sr 87.62 Sr.upf
CELL_PARAMETERS angstrom
3.990 0.006 0.000
-0.008 3.990 0.000
0.000 0.000 11.296
ATOMIC_POSITIONS angstrom
Si 1.991 1.998 2.824
K 0.000 0.000 0.839
K 0.000 0.000 4.809
Sr 1.991 1.998 8.472
```

=====

## KSr2Si (PBE-GGA)

Data for crystalline KSr2Si at its relaxed geometry. Values from VASP.

Raw total energy in eV per atom: -2.275
Crystal system: tetragonal
Magnetization in μB/cell: 0.862
Energy relative to the elements, uncorrected in eV per formula unit: 0.8
Calculated volume in A^3/atom: 35.1
Symmetry: I-4m2, No. 119

```
&SYSTEM
  ibrav = 0, nat = 4, ntyp = 3
/
ATOMIC_SPECIES
Sr 87.62 Sr.upf
Si 28.09 Si.upf
K 39.10 K.upf
CELL_PARAMETERS angstrom
6.444 -0.001 0.000
2.349 6.001 0.000
-4.397 -3.000 3.633
ATOMIC_POSITIONS angstrom
Sr 0.000 0.000 0.000
Sr 1.175 3.000 1.816
Si 3.222 -0.001 1.816
K 4.397 3.000 0.000
```

=====

## K2SrSi (PBE-GGA)

Data for crystalline K2SrSi at its relaxed geometry. Values from VASP.

Raw total energy in eV per atom: -2.089
Crystal system: orthorhombic
Magnetization in μB/cell: 0.492
Energy relative to the elements, uncorrected in eV per formula unit: 0.9
Calculated volume in A^3/atom: 37.1
Symmetry: Pmmm, No. 47

```
&SYSTEM
  ibrav = 0, nat = 4, ntyp = 3
/
ATOMIC_SPECIES
K 39.10 K.upf
Si 28.09 Si.upf
Sr 87.62 Sr.upf
CELL_PARAMETERS angstrom
4.893 0.000 0.000
0.000 4.924 0.000
0.000 0.000 6.167
ATOMIC_POSITIONS angstrom
K 0.000 0.000 0.000
K 2.446 2.462 0.000
Si 2.446 0.000 3.083
Sr 0.000 2.462 3.083
```

=====

## KSr2Si2 (PBE-GGA)

Data for crystalline KSr2Si2 at its relaxed geometry. Values from VASP.

Excess energy over the best structure of this formula in the dataset in eV/atom: 0.151
Raw total energy in eV per atom: -3.083
Crystal system: tetragonal
Magnetization in μB/cell: 0.000
Energy relative to the elements, uncorrected in eV per formula unit: -0.1
Calculated volume in A^3/atom: 35.2
Symmetry: I4/mmm, No. 139

```
&SYSTEM
  ibrav = 0, nat = 5, ntyp = 3
/
ATOMIC_SPECIES
Si 28.09 Si.upf
K 39.10 K.upf
Sr 87.62 Sr.upf
CELL_PARAMETERS angstrom
5.470 0.000 0.000
0.000 5.470 0.000
2.735 2.735 5.879
ATOMIC_POSITIONS angstrom
Si 5.470 5.470 4.698
Si 2.735 2.735 1.181
K 0.000 0.000 0.000
Sr 5.470 2.735 2.939
Sr 2.735 5.470 2.939
```

=====

## KSr2Si (PBE-GGA)

Data for crystalline KSr2Si at its relaxed geometry. Values from VASP.

Raw total energy in eV per atom: -2.394
Crystal system: orthorhombic
Magnetization in μB/cell: 0.494
Energy relative to the elements, uncorrected in eV per formula unit: 0.3
Calculated volume in A^3/atom: 43.6
Symmetry: Immm, No. 71

```
&SYSTEM
  ibrav = 0, nat = 4, ntyp = 3
/
ATOMIC_SPECIES
Si 28.09 Si.upf
Sr 87.62 Sr.upf
K 39.10 K.upf
CELL_PARAMETERS angstrom
6.873 0.538 0.277
1.599 6.706 -0.277
-3.546 -4.429 3.926
ATOMIC_POSITIONS angstrom
Si 1.145 2.950 1.825
Sr 3.665 3.134 0.000
Sr 0.571 0.488 0.000
K 3.782 -0.135 2.102
```

=====

## KSr2Si2 (PBE-GGA)

Data for crystalline KSr2Si2 at its relaxed geometry. Values from VASP.

Excess energy over the best structure of this formula in the dataset in eV/atom: 0.000
Raw total energy in eV per atom: -3.234
Crystal system: tetragonal
Magnetization in μB/cell: 0.030
Energy relative to the elements, uncorrected in eV per formula unit: -0.9
Calculated volume in A^3/atom: 32.3
Symmetry: P4/mbm, No. 127

```
&SYSTEM
  ibrav = 0, nat = 10, ntyp = 3
/
ATOMIC_SPECIES
Si 28.09 Si.upf
Sr 87.62 Sr.upf
K 39.10 K.upf
CELL_PARAMETERS angstrom
-2.138 -6.819 4.646
7.916 -3.048 -0.831
1.212 2.139 3.698
ATOMIC_POSITIONS angstrom
Si 2.815 -7.970 3.688
Si -0.497 -4.385 2.700
Si 6.276 -5.481 1.114
Si 2.963 -1.897 0.126
Sr 5.579 -2.188 2.103
Sr 1.411 -5.539 5.409
Sr 1.304 -1.677 3.209
Sr 5.687 -6.050 4.303
K 2.889 -4.933 1.907
K 0.000 0.000 0.000
```

=====

## KSr2Si (PBE-GGA)

Data for crystalline KSr2Si at its relaxed geometry. Values from VASP.

Raw total energy in eV per atom: -2.401
Crystal system: orthorhombic
Magnetization in μB/cell: 0.268
Energy relative to the elements, uncorrected in eV per formula unit: 0.3
Calculated volume in A^3/atom: 45.6
Symmetry: Pmm2, No. 25

```
&SYSTEM
  ibrav = 0, nat = 4, ntyp = 3
/
ATOMIC_SPECIES
K 39.10 K.upf
Sr 87.62 Sr.upf
Si 28.09 Si.upf
CELL_PARAMETERS angstrom
-0.980 -3.906 0.973
3.349 -0.028 3.262
-6.188 3.142 6.380
ATOMIC_POSITIONS angstrom
K -3.377 1.715 3.482
Sr -5.665 2.877 5.842
Sr 0.023 -1.377 3.315
Si -4.081 0.707 7.547
```

=====

## KSr2Si (PBE-GGA)

Data for crystalline KSr2Si at its relaxed geometry. Values from VASP.

Raw total energy in eV per atom: -2.469
Crystal system: monoclinic
Magnetization in μB/cell: 0.313
Energy relative to the elements, uncorrected in eV per formula unit: 0.0
Calculated volume in A^3/atom: 47.0
Symmetry: Pm, No. 6

```
&SYSTEM
  ibrav = 0, nat = 4, ntyp = 3
/
ATOMIC_SPECIES
Sr 87.62 Sr.upf
Si 28.09 Si.upf
K 39.10 K.upf
CELL_PARAMETERS angstrom
-0.781 2.385 -3.239
-4.328 1.205 1.930
1.812 7.881 5.365
ATOMIC_POSITIONS angstrom
Sr -1.527 3.097 0.056
Sr -2.657 8.256 6.718
Si -1.019 8.597 3.982
K -1.868 5.150 4.241
```

=====

Among the records above, which one has the highest energy relative to the elements, uncorrected? number 5